Here is crystalline K2TbSeO6 at its relaxed geometry from Alexandria. Energies are from PBE.

Cell: 6.2781 6.2781 5.7609 Å, 90.00 90.00 120.00°
With the nearest neighbours (Å) after each atom.
Space group P-3m1 (No. 164)
Asymmetric unit:
K 0.3333 0.6667 0.0943 x2  3 O 2.71
Tb 0.0000 0.0000 0.5000 x1  6 O 2.31
Se 0.0000 0.0000 0.0000 x1  6 O 1.84
O 0.1353 0.2706 0.8093 x6  1 Se 1.84

Properties
- DOS at the Fermi energy: 0.127 states/eV per atom
- Total magnetization: 0.104 μB/atom
- Formation energy without anion corrections: -1.531 eV/atom


Here is crystalline K2TcSeO6 at its relaxed geometry from Alexandria. Energies are from PBE.

Cell: 7.9995 7.9995 7.9995 Å, 90.00 90.00 90.00°
With the nearest neighbours (Å) after each atom.
Space group Fm-3m (No. 225)
Asymmetric unit:
K 0.2500 0.2500 0.2500 x8  12 O 2.83
Tc 0.0000 0.0000 0.0000 x4  6 O 1.95
Se 0.0000 0.0000 0.5000 x4  6 O 2.05
O 0.0000 0.0000 0.2439 x24  1 Tc 1.95, 1 Se 2.05

Properties
- DOS at the Fermi energy: 0.372 states/eV per atom
- Total magnetization: 0.102 μB/atom
- Formation energy without anion corrections: -1.139 eV/atom


Here is crystalline KTeSeO6 at its relaxed geometry from Alexandria. Energies are from PBE.

Cell: 5.2376 5.2376 6.1011 Å, 90.00 90.00 120.00°
With the nearest neighbours (Å) after each atom.
Space group P312 (No. 149)
Asymmetric unit:
K 0.0000 0.0000 0.0000 x1  6 O 2.80
Te 0.6667 0.3333 0.5000 x1  6 O 1.97
Se 0.3333 0.6667 0.5000 x1  6 O 1.97
O 0.0007 0.3871 0.6825 x6  1 Se 1.97, 1 Te 1.97

Properties
- DOS at the Fermi energy: 0.409 states/eV per atom
- Total magnetization: 0.036 μB/atom
- Formation energy without anion corrections: -0.941 eV/atom


Here is crystalline KTeSe2O8 at its relaxed geometry from Alexandria. Energies are from PBE.

Cell: 11.1848 5.6177 7.2217 Å, 90.00 116.47 90.00°
With the nearest neighbours (Å) after each atom.
Space group C2/m (No. 12)
Asymmetric unit:
K 0.0000 0.0000 0.0000 x2  2 O 2.80
Te 0.0000 0.5000 0.5000 x2  4 O 2.18
Se 0.2057 0.0000 0.6694 x4  4 O 1.64-1.74
O 0.1259 0.2369 0.7224 x8  1 Se 1.74
O 0.1359 0.5000 0.1630 x4  1 Se 1.64
O 0.1740 0.0000 0.4241 x4  1 Se 1.64

Properties
- DOS at the Fermi energy: 0.015 states/eV per atom
- Total magnetization: 0.083 μB/atom
- Formation energy without anion corrections: -0.798 eV/atom


Here is crystalline KTi2SeO8 at its relaxed geometry from Alexandria. Energies are from PBE.

Cell: 8.4105 5.7836 7.2216 Å, 90.00 110.79 90.00°
With the nearest neighbours (Å) after each atom.
Space group C2/m (No. 12)
Asymmetric unit:
K 0.0000 0.0000 0.0000 x2  4 O 2.67
Ti 0.0602 0.5000 0.2537 x4  4 O 1.83-1.88
Se 0.0000 0.0000 0.5000 x2  6 O 1.80-1.82
O 0.0262 0.2216 0.6881 x8  1 Se 1.82, 1 Ti 1.87
O 0.1313 0.5000 0.0341 x4  1 Ti 1.88, 1 O 2.09
O 0.2268 0.0000 0.5563 x4  1 Se 1.80, 1 Ti 1.83

Properties
- Total magnetization: 0.081 μB/atom
- Formation energy without anion corrections: -1.748 eV/atom


Here is crystalline KTiSeO5 at its relaxed geometry from Alexandria. Energies are from PBE.

Cell: 7.1380 9.4309 7.3385 Å, 90.00 113.64 90.00°
With the nearest neighbours (Å) after each atom.
Space group C2/c (No. 15)
Asymmetric unit:
K 0.0000 0.1709 0.2500 x4  7 O 2.64-2.74
Ti 0.0000 0.5000 0.0000 x4  6 O 1.89-2.09
Se 0.0000 0.1872 0.7500 x4  4 O 1.78-1.80
O 0.0000 0.4508 0.2500 x4  2 Ti 1.89
O 0.0914 0.2985 0.6074 x8  1 Se 1.78
O 0.2016 0.0749 0.9134 x8  1 Se 1.80

Properties
- DOS at the Fermi energy: 0.277 states/eV per atom
- Total magnetization: 0.000 μB/atom
- Formation energy without anion corrections: -1.658 eV/atom


Here is crystalline KTiSe2O8 at its relaxed geometry from Alexandria. Energies are from PBE.

Cell: 8.6772 5.5723 8.0968 Å, 90.00 93.45 90.00°
With the nearest neighbours (Å) after each atom.
Space group C2/m (No. 12)
Asymmetric unit:
K 0.0000 0.0000 0.0000 x2  6 O 2.87-2.94
Ti 0.0000 0.0000 0.5000 x2  6 O 1.97-2.01
Se 0.1325 0.5000 0.3006 x4  4 O 1.65-1.74
O 0.0178 0.2469 0.3214 x8  1 Se 1.74
O 0.1926 0.5000 0.1113 x4  1 Se 1.65
O 0.2258 0.0000 0.5398 x4  1 Se 1.73

Properties
- DOS at the Fermi energy: 0.169 states/eV per atom
- Total magnetization: 0.000 μB/atom
- Formation energy without anion corrections: -1.345 eV/atom


Here is crystalline K2TlSeO4 at its relaxed geometry from Alexandria. Energies are from PBE.

Cell: 6.7975 6.7975 7.3479 Å, 90.00 90.00 90.00°
With the nearest neighbours (Å) after each atom.
Space group I-4 (No. 82)
Asymmetric unit:
K 0.0000 0.0000 0.0000 x2  4 O 3.01
K 0.0000 0.5000 0.2500 x2  4 O 2.67
Tl 0.0000 0.5000 0.7500 x2  4 O 2.71
Se 0.0000 0.0000 0.5000 x2  4 O 1.81
O 0.1514 0.1558 0.3568 x8  1 Se 1.81

Properties
- DOS at the Fermi energy: 0.077 states/eV per atom
- Total magnetization: 0.128 μB/atom
- Formation energy without anion corrections: -1.011 eV/atom